(1)
# ReIr2Ru | the Alexandria database | PBE | optimized geometry
# electronic total energy = -9.9169 eV per atom
# ΔH_f (0 K) = -55 meV per atom
# crystal system = tetragonal
data_ReIr2Ru
_chemical_formula_sum 'Re1 Ir2 Ru1'
_space_group_name_H-M_alt 'P 4 m m'
_space_group_IT_number 99
_cell_length_a 2.7305
_cell_length_b 2.7305
_cell_length_c 7.7584
_cell_angle_alpha 90.00
_cell_angle_beta 90.00
_cell_angle_gamma 90.00
loop_
_space_group_symop_operation_xyz
'x,y,z'
'-y,x,z'
'-x,-y,z'
'y,-x,z'
'-x,y,z'
'y,x,z'
'x,-y,z'
'-y,-x,z'
loop_
_atom_site_label
_atom_site_type_symbol
_atom_site_fract_x
_atom_site_fract_y
_atom_site_fract_z
Re1 Re 0.0000 0.0000 0.0000
Ir1 Ir 0.0000 0.0000 0.4947
Ir2 Ir 0.5000 0.5000 0.7543
Ru1 Ru 0.5000 0.5000 0.2508


(2)
# ReIrRu | the Alexandria database | PBE | optimized geometry
# electronic total energy = -10.3831 eV per atom
# ΔH_f (0 K) = -188 meV per atom
# E above lowest polymorph = 0.000 eV per atom
# crystal system = orthorhombic
data_ReIrRu
_chemical_formula_sum 'Re4 Ir4 Ru4'
_space_group_name_H-M_alt 'A m a 2'
_space_group_IT_number 40
_cell_length_a 4.3459
_cell_length_b 4.7943
_cell_length_c 8.2716
_cell_angle_alpha 90.00
_cell_angle_beta 90.00
_cell_angle_gamma 90.00
loop_
_space_group_symop_operation_xyz
'x,y,z'
'-x,-y,z'
'-x+1/2,y,z'
'x+1/2,-y,z'
'x,y+1/2,z+1/2'
'-x,-y+1/2,z+1/2'
'-x+1/2,y+1/2,z+1/2'
'x+1/2,-y+1/2,z+1/2'
loop_
_atom_site_label
_atom_site_type_symbol
_atom_site_fract_x
_atom_site_fract_y
_atom_site_fract_z
Re1 Re 0.2500 0.1669 0.0000
Ir1 Ir 0.2500 0.1671 0.3308
Ru1 Ru 0.2500 0.1641 0.6652


(3)
# ReIrRu2 | the Alexandria database | PBE | optimized geometry
# electronic total energy = -9.5720 eV per atom
# ΔH_f (0 K) = 393 meV per atom
# crystal system = tetragonal
data_ReIrRu2
_chemical_formula_sum 'Re1 Ir1 Ru2'
_space_group_name_H-M_alt 'P 4 m m'
_space_group_IT_number 99
_cell_length_a 3.2833
_cell_length_b 3.2833
_cell_length_c 5.4860
_cell_angle_alpha 90.00
_cell_angle_beta 90.00
_cell_angle_gamma 90.00
loop_
_space_group_symop_operation_xyz
'x,y,z'
'-y,x,z'
'-x,-y,z'
'y,-x,z'
'-x,y,z'
'y,x,z'
'x,-y,z'
'-y,-x,z'
loop_
_atom_site_label
_atom_site_type_symbol
_atom_site_fract_x
_atom_site_fract_y
_atom_site_fract_z
Re1 Re 0.0000 0.0000 0.0000
Ir1 Ir 0.5000 0.5000 0.7565
Ru1 Ru 0.0000 0.0000 0.5150
Ru2 Ru 0.5000 0.5000 0.2606